The following is a GGA-PBE calculation of Tl12InSe7 after structural relaxation, from Alexandria via LeMat-Bulk.

It has space group R-3 (No. 148, hexagonal axes), with a = 15.1707 Å, b = 15.1707 Å, c = 10.2488 Å, α = 90.00°, β = 90.00° and γ = 120.00°. The inequivalent atoms are Tl at (0.0291, 0.7305, 0.4875), Tl at (0.0813, 0.1910, 0.8367), In at (0.0000, 0.0000, 0.5000), Se at (0.0000, 0.0000, 0.0000) and Se at (0.0762, 0.1766, 0.3441).

As for the total magnetization: 0.0 μB/f.u. The uncorrected formation energy is -6.5 eV/f.u.